w.
Below is a geometry-optimized La2SmZr structure, with properties calculated at the PBE-GGA level.

The calculation puts the density at 6.8 g cm⁻³. As for the crystal system: trigonal.

Lattice parameters (Å, degrees): 12.488 12.488 12.488 15.82 15.82 15.82
Fractional coordinates of all 4 atoms:
La 0.083 0.083 0.083
La 0.917 0.917 0.917
Sm 0.500 0.500 0.500
Zr 0.000 0.000 0.000



x.
Below is a geometry-optimized La2SmZr structure, with properties calculated at the PBE-GGA level.

The calculation puts the density at 6.8 g cm⁻³. As for the crystal system: tetragonal.

Lattice parameters (Å, degrees): 5.054 5.054 4.955 90.00 90.00 90.00
Fractional coordinates of all 4 atoms:
La 0.000 0.500 0.000
La 0.500 0.000 0.000
Sm 0.000 0.000 0.500
Zr 0.500 0.500 0.500



y.
Below is a geometry-optimized La2SmZr structure, with properties calculated at the PBE-GGA level.

The calculation puts the density at 6.8 g cm⁻³. As for the crystal system: cubic.

Lattice parameters (Å, degrees): 5.626 5.626 5.626 60.00 60.00 60.00
Fractional coordinates of all 4 atoms:
La 0.250 0.250 0.250
La 0.750 0.750 0.750
Sm 0.000 0.000 0.000
Zr 0.500 0.500 0.500



Question: which arrangement is favored energetically? Ranking from most to least stable: x, y, w.



w.
Below is a geometry-optimized LaSm2Zr structure, with properties calculated at the PBE-GGA level.

The calculation puts the density at 7.1 g cm⁻³. As for the crystal system: tetragonal.

Lattice parameters (Å, degrees): 4.969 4.969 5.019 90.00 90.00 90.00
Fractional coordinates of all 4 atoms:
La 0.000 0.000 0.000
Sm 0.000 0.500 0.500
Sm 0.500 0.000 0.500
Zr 0.500 0.500 0.000



x.
Below is a geometry-optimized LaSm2Zr structure, with properties calculated at the PBE-GGA level.

The calculation puts the density at 7.1 g cm⁻³. As for the crystal system: trigonal.

Lattice parameters (Å, degrees): 12.405 12.405 12.405 15.89 15.89 15.89
Fractional coordinates of all 4 atoms:
La 0.000 0.000 0.000
Sm 0.415 0.415 0.415
Sm 0.585 0.585 0.585
Zr 0.500 0.500 0.500



y.
Below is a geometry-optimized LaSm2Zr structure, with properties calculated at the PBE-GGA level.

The calculation puts the density at 7.0 g cm⁻³. As for the crystal system: tetragonal.

Lattice parameters (Å, degrees): 4.071 4.071 7.554 90.00 90.00 90.00
Fractional coordinates of all 4 atoms:
La 0.000 0.000 0.000
Sm 0.500 0.500 0.286
Sm 0.500 0.500 0.714
Zr 0.000 0.000 0.500



z.
Below is a geometry-optimized LaSm2Zr structure, with properties calculated at the PBE-GGA level.

The calculation puts the density at 7.1 g cm⁻³. As for the crystal system: trigonal.

Lattice parameters (Å, degrees): 11.633 11.633 11.633 17.54 17.54 17.54
Fractional coordinates of all 4 atoms:
La 0.000 0.000 0.000
Sm 0.422 0.422 0.422
Sm 0.577 0.577 0.577
Zr 0.833 0.833 0.833



Question: which arrangement is favored energetically? Ranking from most to least stable: z, w, y, x.



w.
Below is a geometry-optimized La5Sn structure, with properties calculated at the PBE-GGA level.

The calculation puts the density at 6.7 g cm⁻³. As for the crystal system: orthorhombic.

Lattice parameters (Å, degrees): 6.328 6.328 6.064 90.00 90.00 123.61
Fractional coordinates of all 6 atoms:
La 0.000 0.000 0.000
La 0.154 0.846 0.500
La 0.345 0.655 0.000
La 0.655 0.345 0.000
La 0.846 0.154 0.500
Sn 0.500 0.500 0.500



x.
Below is a geometry-optimized La5Sn structure, with properties calculated at the PBE-GGA level.

The calculation puts the density at 6.7 g cm⁻³. As for the crystal system: orthorhombic.

Lattice parameters (Å, degrees): 8.425 8.425 5.020 90.00 90.00 145.39
Fractional coordinates of all 6 atoms:
La 0.000 0.000 0.000
La 0.161 0.839 0.500
La 0.344 0.656 0.000
La 0.656 0.344 0.000
La 0.839 0.161 0.500
Sn 0.500 0.500 0.500



Question: which arrangement is favored energetically? Ranking from most to least stable: x, w.



w.
Below is a geometry-optimized La3Sn structure, with properties calculated at the PBE-GGA level.

The calculation puts the density at 7.0 g cm⁻³. As for the crystal system: cubic.

Lattice parameters (Å, degrees): 5.032 5.032 5.032 90.00 90.00 90.00
Fractional coordinates of all 4 atoms:
La 0.000 0.000 0.500
La 0.000 0.500 0.000
La 0.500 0.000 0.000
Sn 0.500 0.500 0.500



x.
Below is a geometry-optimized La3Sn structure, with properties calculated at the PBE-GGA level.

The calculation puts the density at 6.8 g cm⁻³. As for the crystal system: orthorhombic.

Lattice parameters (Å, degrees): 6.750 6.750 6.750 147.95 64.13 126.07
Fractional coordinates of all 4 atoms:
La 0.000 0.000 0.000
La 0.129 0.358 0.772
La 0.586 0.358 0.228
Sn 0.540 0.040 0.500



Question: which arrangement is favored energetically? Ranking from most to least stable: w, x.



w.
Below is a geometry-optimized La3Sn structure, with properties calculated at the PBE-GGA level.

The calculation puts the density at 6.9 g cm⁻³. As for the crystal system: orthorhombic.

Lattice parameters (Å, degrees): 3.672 5.704 6.152 90.00 90.00 90.00
Fractional coordinates of all 4 atoms:
La 0.000 0.000 0.000
La 0.000 0.500 0.391
La 0.500 0.000 0.550
Sn 0.500 0.500 0.879



x.
Below is a geometry-optimized La3Sn structure, with properties calculated at the PBE-GGA level.

The calculation puts the density at 6.9 g cm⁻³. As for the crystal system: cubic.

Lattice parameters (Å, degrees): 5.662 5.662 5.662 60.00 60.00 60.00
Fractional coordinates of all 4 atoms:
La 0.000 0.000 0.000
La 0.250 0.250 0.250
La 0.750 0.750 0.750
Sn 0.500 0.500 0.500



Question: which arrangement is favored energetically? Ranking from most to least stable: w, x.



w.
Below is a geometry-optimized La4Sn structure, with properties calculated at the PBE-GGA level.

The calculation puts the density at 4.9 g cm⁻³. As for the crystal system: cubic.

Lattice parameters (Å, degrees): 6.098 6.098 6.098 90.00 90.00 90.00
Fractional coordinates of all 5 atoms:
La 0.000 0.000 0.000
La 0.000 0.500 0.500
La 0.500 0.000 0.500
La 0.500 0.500 0.000
Sn 0.500 0.500 0.500



x.
Below is a geometry-optimized La4Sn structure, with properties calculated at the PBE-GGA level.

The calculation puts the density at 6.9 g cm⁻³. As for the crystal system: orthorhombic.

Lattice parameters (Å, degrees): 9.623 9.623 9.623 147.49 137.34 54.64
Fractional coordinates of all 10 atoms:
La 0.000 0.000 0.000
La 0.153 0.403 0.750
La 0.222 0.201 0.021
La 0.320 0.799 0.521
La 0.500 0.000 0.500
La 0.680 0.201 0.479
La 0.778 0.799 0.979
La 0.847 0.597 0.250
Sn 0.359 0.609 0.750
Sn 0.641 0.391 0.250



y.
Below is a geometry-optimized La4Sn structure, with properties calculated at the PBE-GGA level.

The calculation puts the density at 6.1 g cm⁻³. As for the crystal system: monoclinic.

Lattice parameters (Å, degrees): 7.213 6.997 7.590 90.00 105.09 90.00
Fractional coordinates of all 10 atoms:
La 0.221 0.171 0.244
La 0.221 0.329 0.744
La 0.223 0.667 0.115
La 0.223 0.833 0.615
La 0.777 0.167 0.385
La 0.777 0.333 0.885
La 0.779 0.671 0.256
La 0.779 0.829 0.756
Sn 0.500 0.000 0.000
Sn 0.500 0.500 0.500



Question: which arrangement is favored energetically? Ranking from most to least stable: x, y, w.



w.
Below is a geometry-optimized La4Sn3 structure, with properties calculated at the PBE-GGA level.

The calculation puts the density at 6.0 g cm⁻³. As for the crystal system: tetragonal.

Lattice parameters (Å, degrees): 12.896 12.896 12.896 159.89 159.89 28.60
Fractional coordinates of all 7 atoms:
La 0.062 0.062 0.000
La 0.317 0.317 0.000
La 0.683 0.683 0.000
La 0.938 0.938 0.000
Sn 0.185 0.185 0.000
Sn 0.500 0.500 0.000
Sn 0.815 0.815 0.000



x.
Below is a geometry-optimized La4Sn3 structure, with properties calculated at the PBE-GGA level.

The calculation puts the density at 6.4 g cm⁻³. As for the crystal system: cubic.

Lattice parameters (Å, degrees): 8.498 8.498 8.498 109.47 109.47 109.47
Fractional coordinates of all 14 atoms:
La 0.000 0.140 0.500
La 0.000 0.640 0.500
La 0.140 0.500 0.000
La 0.360 0.360 0.360
La 0.500 0.000 0.140
La 0.500 0.000 0.640
La 0.640 0.500 0.000
La 0.860 0.860 0.860
Sn 0.125 0.875 0.250
Sn 0.250 0.125 0.875
Sn 0.375 0.625 0.750
Sn 0.625 0.750 0.375
Sn 0.750 0.375 0.625
Sn 0.875 0.250 0.125



Question: which arrangement is favored energetically? Ranking from most to least stable: x, w.



w.
Below is a geometry-optimized SrLaSn structure, with properties calculated at the PBE-GGA level.

The calculation puts the density at 4.8 g cm⁻³. As for the crystal system: tetragonal.

Lattice parameters (Å, degrees): 10.098 10.098 10.098 160.01 160.01 28.41
Fractional coordinates of all 3 atoms:
Sr 0.000 0.000 0.000
La 0.665 0.665 0.000
Sn 0.829 0.829 0.000



x.
Below is a geometry-optimized SrLaSn structure, with properties calculated at the PBE-GGA level.

The calculation puts the density at 4.8 g cm⁻³. As for the crystal system: cubic.

Lattice parameters (Å, degrees): 5.516 5.516 5.516 60.00 60.00 60.00
Fractional coordinates of all 3 atoms:
Sr 0.000 0.000 0.000
La 0.500 0.500 0.500
Sn 0.250 0.250 0.250



y.
Below is a geometry-optimized SrLaSn structure, with properties calculated at the PBE-GGA level.

The calculation puts the density at 5.5 g cm⁻³. As for the crystal system: trigonal.

Lattice parameters (Å, degrees): 5.372 5.372 4.167 90.00 90.00 120.00
Fractional coordinates of all 3 atoms:
Sr 0.000 0.000 0.000
La 0.333 0.667 0.424
Sn 0.667 0.333 0.689



Question: which arrangement is favored energetically? Ranking from most to least stable: x, y, w.



w.
Below is a geometry-optimized SrLa3Sn structure, with properties calculated at the PBE-GGA level.

The calculation puts the density at 4.3 g cm⁻³. As for the crystal system: cubic.

Lattice parameters (Å, degrees): 6.217 6.217 6.217 90.00 90.00 90.00
Fractional coordinates of all 5 atoms:
Sr 0.000 0.000 0.000
La 0.000 0.500 0.500
La 0.500 0.000 0.500
La 0.500 0.500 0.000
Sn 0.500 0.500 0.500



x.
Below is a geometry-optimized SrLa3Sn structure, with properties calculated at the PBE-GGA level.

The calculation puts the density at 5.3 g cm⁻³. As for the crystal system: cubic.

Lattice parameters (Å, degrees): 5.785 5.785 5.785 90.00 90.00 90.00
Fractional coordinates of all 5 atoms:
Sr 0.000 0.000 0.000
La 0.000 0.000 0.500
La 0.000 0.500 0.000
La 0.500 0.000 0.000
Sn 0.500 0.500 0.500



Question: which arrangement is favored energetically? Ranking from most to least stable: w, x.



w.
Below is a geometry-optimized La2TaSn2 structure, with properties calculated at the PBE-GGA level.

The calculation puts the density at 8.1 g cm⁻³. As for the crystal system: tetragonal.

Lattice parameters (Å, degrees): 7.731 7.731 4.773 90.00 90.00 90.00
Fractional coordinates of all 10 atoms:
La 0.173 0.327 0.000
La 0.327 0.827 0.000
La 0.673 0.173 0.000
La 0.827 0.673 0.000
Ta 0.000 0.000 0.500
Ta 0.500 0.500 0.500
Sn 0.138 0.638 0.500
Sn 0.362 0.138 0.500
Sn 0.638 0.862 0.500
Sn 0.862 0.362 0.500



x.
Below is a geometry-optimized La2TaSn2 structure, with properties calculated at the PBE-GGA level.

The calculation puts the density at 8.6 g cm⁻³. As for the crystal system: tetragonal.

Lattice parameters (Å, degrees): 8.134 8.134 8.134 149.95 149.95 43.01
Fractional coordinates of all 5 atoms:
La 0.250 0.750 0.500
La 0.750 0.250 0.500
Ta 0.000 0.000 0.000
Sn 0.412 0.412 0.000
Sn 0.588 0.588 0.000



Question: which arrangement is favored energetically? Ranking from most to least stable: w, x.



w.
Below is a geometry-optimized La3TbSn2 structure, with properties calculated at the PBE-GGA level.

The calculation puts the density at 7.8 g cm⁻³. As for the crystal system: orthorhombic.

Lattice parameters (Å, degrees): 3.375 5.375 9.530 90.00 90.00 90.00
Fractional coordinates of all 6 atoms:
La 0.000 0.000 0.000
La 0.000 0.000 0.322
La 0.000 0.500 0.831
Tb 0.000 0.500 0.502
Sn 0.500 0.000 0.656
Sn 0.500 0.500 0.169



x.
Below is a geometry-optimized La3TbSn2 structure, with properties calculated at the PBE-GGA level.

The calculation puts the density at 6.8 g cm⁻³. As for the crystal system: orthorhombic.

Lattice parameters (Å, degrees): 10.030 10.030 10.030 140.97 56.26 141.14
Fractional coordinates of all 12 atoms:
La 0.176 0.246 0.423
La 0.250 0.250 0.000
La 0.324 0.746 0.070
La 0.676 0.254 0.930
La 0.750 0.750 0.000
La 0.824 0.754 0.577
Tb 0.250 0.750 0.500
Tb 0.750 0.250 0.500
Sn 0.135 0.741 0.876
Sn 0.365 0.241 0.606
Sn 0.635 0.759 0.394
Sn 0.865 0.259 0.124



Question: which arrangement is favored energetically? Ranking from most to least stable: x, w.